Material: BaGe2BiC
Method: DFT, GGA-PBE
State: optimized geometry

The value obtained for the density of states at the Fermi level is 5.0 states/eV/f.u. As for the formation energy: 1102 meV per atom. As for the calculated volume: 29.5 Å³ per atom. The uncorrected energy is -3.75 eV/atom.

It has space group P4/mmm (No. 123), with a = 5.6785 Å, b = 5.6785 Å, c = 4.5818 Å, α = 90.00°, β = 90.00° and γ = 90.00°. The asymmetric unit holds Ba at (0.0000, 0.0000, 0.0000), Ge at (0.0000, 0.5000, 0.5000), Bi at (0.5000, 0.5000, 0.5000) and C at (0.5000, 0.5000, 0.0000).

---

Material: Be3InNi
Method: DFT, GGA-PBE
State: optimized geometry

The value obtained for the density of states at the Fermi level is 1.5 states/eV/f.u. As for the formation energy: 371 meV per atom. The value obtained for the excess energy over the best structure of this formula in the dataset is 0 meV/atom. As for the calculated volume: 13.6 Å³ per atom. The uncorrected energy is -3.57 eV/atom.

It has space group Pm-3m (No. 221), with a = 4.0782 Å, b = 4.0782 Å, c = 4.0782 Å, α = 90.00°, β = 90.00° and γ = 90.00°. The asymmetric unit holds Be at (0.0000, 0.0000, 0.5000), In at (0.5000, 0.5000, 0.5000) and Ni at (0.0000, 0.0000, 0.0000).

---

Calculated values (μB/atom) of magnetic moment for the records, taken in order: 0.000; 0.000.